! CaTiSN2 PBE optimized geometry; values from VASP
! density of states at the Fermi level	4.1	states/eV per cell
! space-group type	No. 123
! V	78.7	Å³/cell
! total magnetization	0.092	μB/atom
! E	-34.0	eV per cell
! offset from the most stable computed form	0.000	eV per atom
&SYSTEM
  ibrav = 0, nat = 5, ntyp = 4
/
ATOMIC_SPECIES
Ca 40.08 Ca.upf
Ti 47.87 Ti.upf
S 32.06 S.upf
N 14.01 N.upf
CELL_PARAMETERS angstrom
3.939 0.000 0.000
0.000 3.939 0.000
0.000 0.000 5.072
ATOMIC_POSITIONS angstrom
Ca 0.000 0.000 0.000
Ti 1.970 1.970 2.536
S 1.970 1.970 0.000
N 0.000 1.970 2.536
N 1.970 0.000 2.536